Entry 1:
! HfPHC2 (meta-GGA SCAN, PBEsol geometry); values from VASP
! electronic total energy	-86.37	eV per formula unit
! space-group type	P4/mmm (123)
! DOS(E_F)	1.6	states/eV/cell
! ρ	4.3	Mg/m³
&SYSTEM
  ibrav = 0, nat = 5, ntyp = 4
/
ATOMIC_SPECIES
Hf 178.49 Hf.upf
P 30.97 P.upf
H 1.01 H.upf
C 12.01 C.upf
CELL_PARAMETERS angstrom
4.2557 0.0000 0.0000
0.0000 4.2557 0.0000
0.0000 0.0000 4.9548
ATOMIC_POSITIONS crystal
Hf 0.0000 0.0000 0.0000
P 0.0000 0.0000 0.5000
H 0.5000 0.5000 0.5000
C 0.0000 0.5000 0.0000
C 0.5000 0.0000 0.0000

***

Entry 2:
! HgH10C3I3N (meta-GGA SCAN, PBEsol geometry); values from VASP
! electronic total energy	-257.21	eV per formula unit
! space-group type	P2_1/c (14)
! DOS(E_F)	0.0	states/eV/cell
! ρ	3.5	Mg/m³
&SYSTEM
  ibrav = 0, nat = 72, ntyp = 5
/
ATOMIC_SPECIES
Hg 200.59 Hg.upf
H 1.01 H.upf
C 12.01 C.upf
I 126.90 I.upf
N 14.01 N.upf
CELL_PARAMETERS angstrom
9.0076 0.0000 0.0000
0.0000 15.3742 0.0000
-0.4446 0.0000 8.6887
ATOMIC_POSITIONS crystal
Hg 0.2472 0.2191 0.2942
Hg 0.2472 0.2809 0.7942
Hg 0.7528 0.7191 0.2058
Hg 0.7528 0.7809 0.7058
H 0.0876 0.6006 0.4059
H 0.0876 0.8994 0.9059
H 0.1230 0.6535 0.1499
H 0.1230 0.8465 0.6499
H 0.1416 0.5012 0.2052
H 0.1416 0.9988 0.7052
H 0.1852 0.5051 0.4760
H 0.1852 0.9949 0.9760
H 0.2551 0.6009 0.0317
H 0.2551 0.8991 0.5317
H 0.2843 0.6064 0.4562
H 0.2843 0.8936 0.9562
H 0.3198 0.6638 0.1976
H 0.3198 0.8362 0.6976
H 0.3604 0.0656 0.8189
H 0.3604 0.4344 0.3189
H 0.3827 0.0292 0.6246
H 0.3827 0.4708 0.1246
H 0.4607 0.5340 0.2844
H 0.4607 0.9660 0.7844
H 0.5393 0.0340 0.2156
H 0.5393 0.4660 0.7156
H 0.6173 0.5292 0.8754
H 0.6173 0.9708 0.3754
H 0.6396 0.5656 0.6811
H 0.6396 0.9344 0.1811
H 0.6802 0.1638 0.3024
H 0.6802 0.3362 0.8024
H 0.7157 0.1064 0.0438
H 0.7157 0.3936 0.5438
H 0.7449 0.1009 0.4683
H 0.7449 0.3991 0.9683
H 0.8148 0.0051 0.0240
H 0.8148 0.4949 0.5240
H 0.8584 0.0012 0.2948
H 0.8584 0.4988 0.7948
H 0.8770 0.1535 0.3501
H 0.8770 0.3465 0.8501
H 0.9124 0.1006 0.0941
H 0.9124 0.3994 0.5941
C 0.1937 0.5650 0.4079
C 0.1937 0.9350 0.9079
C 0.2315 0.6206 0.1495
C 0.2315 0.8794 0.6495
C 0.3681 0.0083 0.7438
C 0.3681 0.4917 0.2438
C 0.6319 0.5083 0.7562
C 0.6319 0.9917 0.2562
C 0.7685 0.1206 0.3505
C 0.7685 0.3794 0.8505
C 0.8063 0.0650 0.0921
C 0.8063 0.4350 0.5921
I 0.0256 0.1610 0.7577
I 0.0256 0.3390 0.2577
I 0.1845 0.0449 0.3204
I 0.1845 0.4551 0.8204
I 0.4529 0.2349 0.0489
I 0.4529 0.2651 0.5489
I 0.5471 0.7349 0.4511
I 0.5471 0.7651 0.9511
I 0.8155 0.5449 0.1796
I 0.8155 0.9551 0.6796
I 0.9744 0.6610 0.7423
I 0.9744 0.8390 0.2423
N 0.2276 0.5419 0.2479
N 0.2276 0.9581 0.7479
N 0.7724 0.0419 0.2521
N 0.7724 0.4581 0.7521

***

Entry 3:
! TiH24C6I3N12O6 (meta-GGA SCAN, PBEsol geometry); values from VASP
! electronic total energy	-451.93	eV per formula unit
! space-group type	R-3c (167)
! DOS(E_F)	13.6	states/eV/cell
! ρ	2.1	Mg/m³
&SYSTEM
  ibrav = 0, nat = 104, ntyp = 6
/
ATOMIC_SPECIES
Ti 47.87 Ti.upf
H 1.01 H.upf
C 12.01 C.upf
I 126.90 I.upf
N 14.01 N.upf
O 16.00 O.upf
CELL_PARAMETERS angstrom
8.6350 4.9854 4.8087
-8.6350 4.9854 4.8087
0.0000 -9.9708 4.8087
ATOMIC_POSITIONS crystal
Ti 0.2500 0.2500 0.2500
Ti 0.7500 0.7500 0.7500
H 0.0166 0.9425 0.3737
H 0.0253 0.6568 0.1358
H 0.0321 0.7760 0.7993
H 0.0575 0.6263 0.9834
H 0.1263 0.5575 0.4834
H 0.1358 0.0253 0.6568
H 0.1442 0.2508 0.8391
H 0.1568 0.5253 0.6358
H 0.1609 0.8558 0.7492
H 0.2007 0.9679 0.2240
H 0.2240 0.2007 0.9679
H 0.2492 0.3558 0.6609
H 0.2508 0.8391 0.1442
H 0.2760 0.5321 0.2993
H 0.2993 0.2760 0.5321
H 0.3391 0.7508 0.6442
H 0.3432 0.8642 0.9747
H 0.3558 0.6609 0.2492
H 0.3642 0.8432 0.4747
H 0.3737 0.0166 0.9425
H 0.4425 0.5166 0.8737
H 0.4679 0.7007 0.7240
H 0.4747 0.3642 0.8432
H 0.4834 0.1263 0.5575
H 0.5166 0.8737 0.4425
H 0.5253 0.6358 0.1568
H 0.5321 0.2993 0.2760
H 0.5575 0.4834 0.1263
H 0.6263 0.9834 0.0575
H 0.6358 0.1568 0.5253
H 0.6442 0.3391 0.7508
H 0.6568 0.1358 0.0253
H 0.6609 0.2492 0.3558
H 0.7007 0.7240 0.4679
H 0.7240 0.4679 0.7007
H 0.7492 0.1609 0.8558
H 0.7508 0.6442 0.3391
H 0.7760 0.7993 0.0321
H 0.7993 0.0321 0.7760
H 0.8391 0.1442 0.2508
H 0.8432 0.4747 0.3642
H 0.8558 0.7492 0.1609
H 0.8642 0.9747 0.3432
H 0.8737 0.4425 0.5166
H 0.9425 0.3737 0.0166
H 0.9679 0.2240 0.2007
H 0.9747 0.3432 0.8642
H 0.9834 0.0575 0.6263
C 0.0058 0.0893 0.2914
C 0.0893 0.2914 0.0058
C 0.2086 0.4107 0.4942
C 0.2914 0.0058 0.0893
C 0.4107 0.4942 0.2086
C 0.4942 0.2086 0.4107
C 0.5058 0.7914 0.5893
C 0.5893 0.5058 0.7914
C 0.7086 0.9942 0.9107
C 0.7914 0.5893 0.5058
C 0.9107 0.7086 0.9942
C 0.9942 0.9107 0.7086
I 0.1157 0.7500 0.3843
I 0.2500 0.6157 0.8843
I 0.3843 0.1157 0.7500
I 0.6157 0.8843 0.2500
I 0.7500 0.3843 0.1157
I 0.8843 0.2500 0.6157
N 0.9998 0.3459 0.9602
N 0.0002 0.6541 0.0398
N 0.0398 0.0002 0.6541
N 0.0676 0.8395 0.7520
N 0.1541 0.5002 0.5398
N 0.1605 0.2480 0.9324
N 0.2480 0.9324 0.1605
N 0.2520 0.3395 0.5676
N 0.3395 0.5676 0.2520
N 0.3459 0.9602 0.9998
N 0.4324 0.7480 0.6605
N 0.4602 0.8459 0.4998
N 0.4998 0.4602 0.8459
N 0.5002 0.5398 0.1541
N 0.5398 0.1541 0.5002
N 0.5676 0.2520 0.3395
N 0.6541 0.0398 0.0002
N 0.6605 0.4324 0.7480
N 0.7480 0.6605 0.4324
N 0.7520 0.0676 0.8395
N 0.8395 0.7520 0.0676
N 0.8459 0.4998 0.4602
N 0.9324 0.1605 0.2480
N 0.9602 0.9998 0.3459
O 0.1075 0.2822 0.1221
O 0.1221 0.1075 0.2822
O 0.2178 0.3925 0.3779
O 0.2822 0.1221 0.1075
O 0.3779 0.2178 0.3925
O 0.3925 0.3779 0.2178
O 0.6075 0.6221 0.7822
O 0.6221 0.7822 0.6075
O 0.7178 0.8779 0.8925
O 0.7822 0.6075 0.6221
O 0.8779 0.8925 0.7178
O 0.8925 0.7178 0.8779

***

Entry 4:
! In2Sb2H16C4Se7N2 (meta-GGA SCAN, PBEsol geometry); values from VASP
! electronic total energy	-405.99	eV per formula unit
! space-group type	C2/c (15)
! DOS(E_F)	0.0	states/eV/cell
! ρ	3.6	Mg/m³
&SYSTEM
  ibrav = 0, nat = 66, ntyp = 6
/
ATOMIC_SPECIES
In 114.82 In.upf
Sb 121.76 Sb.upf
H 1.01 H.upf
C 12.01 C.upf
Se 78.96 Se.upf
N 14.01 N.upf
CELL_PARAMETERS angstrom
10.0349 -3.5862 0.0000
10.0349 3.5862 0.0000
-9.8276 0.0000 14.2225
ATOMIC_POSITIONS crystal
In 0.1838 0.7289 0.6088
In 0.2711 0.8162 0.8912
In 0.7289 0.1838 0.1088
In 0.8162 0.2711 0.3912
Sb 0.2337 0.7149 0.0499
Sb 0.2851 0.7663 0.4501
Sb 0.7149 0.2337 0.5499
Sb 0.7663 0.2851 0.9501
H 0.0092 0.3418 0.8019
H 0.0261 0.4542 0.1871
H 0.0580 0.5035 0.6048
H 0.0962 0.3418 0.6387
H 0.1495 0.5000 0.7274
H 0.1605 0.3616 0.0730
H 0.1927 0.4927 0.2797
H 0.3050 0.4171 0.1576
H 0.3418 0.0092 0.3019
H 0.3418 0.0962 0.1387
H 0.3616 0.1605 0.5730
H 0.4171 0.3050 0.6576
H 0.4542 0.0261 0.6871
H 0.4927 0.1927 0.7797
H 0.4965 0.9420 0.8952
H 0.5000 0.1495 0.2274
H 0.5000 0.8505 0.7726
H 0.5035 0.0580 0.1048
H 0.5073 0.8073 0.2203
H 0.5458 0.9739 0.3129
H 0.5829 0.6950 0.3424
H 0.6384 0.8395 0.4270
H 0.6582 0.9038 0.8613
H 0.6582 0.9908 0.6981
H 0.6950 0.5829 0.8424
H 0.8073 0.5073 0.7203
H 0.8395 0.6384 0.9270
H 0.8505 0.5000 0.2726
H 0.9038 0.6582 0.3613
H 0.9420 0.4965 0.3952
H 0.9739 0.5458 0.8129
H 0.9908 0.6582 0.1981
C 0.1027 0.5024 0.2066
C 0.1527 0.4083 0.6546
C 0.4083 0.1527 0.1546
C 0.4976 0.8973 0.2934
C 0.5024 0.1027 0.7066
C 0.5917 0.8473 0.8454
C 0.8473 0.5917 0.3454
C 0.8973 0.4976 0.7934
Se 0.0312 0.8027 0.8854
Se 0.0492 0.2023 0.9232
Se 0.1973 0.9688 0.6146
Se 0.2023 0.0492 0.4232
Se 0.3295 0.4234 0.4675
Se 0.4234 0.3295 0.9675
Se 0.4447 0.5553 0.7500
Se 0.5553 0.4447 0.2500
Se 0.5766 0.6705 0.0325
Se 0.6705 0.5766 0.5325
Se 0.7977 0.9508 0.5768
Se 0.8027 0.0312 0.3854
Se 0.9508 0.7977 0.0768
Se 0.9688 0.1973 0.1146
N 0.2414 0.3641 0.1434
N 0.3641 0.2414 0.6434
N 0.6359 0.7586 0.3566
N 0.7586 0.6359 0.8566

***

DOS(E_F) of number 4 (In2Sb2H16C4Se7N2)?
0.0 states/eV/cell